[1]
Compound: BiB
Source: Alexandria via LeMat-Bulk
Functional: PBE-GGA
Structure: optimized geometry

Formation enthalpy at 0 K: 226 kJ/mol of formula units

a b c (Å): 3.730 3.730 3.730
angles (deg): 60.00 60.00 60.00
Positions (direct):
Bi (0.000, 0.000, 0.000)
B (0.500, 0.500, 0.500)



[2]
Compound: BiB
Source: Alexandria via LeMat-Bulk
Functional: PBE-GGA
Structure: optimized geometry

Formation enthalpy at 0 K: 198 kJ/mol of formula units

a b c (Å): 7.464 7.464 7.464
angles (deg): 94.02 94.02 149.29
Positions (direct):
Bi (0.113, 0.715, 0.828)
Bi (0.285, 0.113, 0.397)
Bi (0.715, 0.887, 0.603)
Bi (0.887, 0.285, 0.172)
B (0.121, 0.289, 0.410)
B (0.289, 0.879, 0.168)
B (0.711, 0.121, 0.832)
B (0.879, 0.711, 0.590)



no.,energy (eV/atom),size of the total moment (μB/f.u.),energy relative to the lowest polymorph listed for this composition (eV/atom)
1,-4.108,0.0,0.351
2,-4.252,0.0,0.207